DFT (GGA-PBE) results for a geometry-optimized Ca2PAu structure.

Output
ΔE_f: -2.541 eV per formula unit
space group: No. 160

POSCAR file:
```
Ca2PAu
1.0
-7.182 -2.447 0.861
-5.353 -5.089 -1.938
-4.677 -5.607 2.237
Au Ca P
1 2 1
Direct
0.787 0.787 0.787 Au
0.035 0.035 0.035 Ca
0.214 0.214 0.214 Ca
0.464 0.464 0.464 P
```